Here is an optimized crystal structure of CrClF3 from Alexandria. Energies are from PBE+U.

Values from the calculation:
Fermi-level density of states (states/eV per atom): 1.356
Uncorrected energy (eV/atom): -4.661
Polymorph energy (0 for the lowest one) (meV/atom): 173.1

```
CrClF3
1.0
-0.212 -0.887 -3.916
1.729 -3.559 0.712
-3.624 -1.646 0.569
F Cl Cr
3 1 1
Direct
0.000 0.000 0.500
0.000 0.500 0.000
0.500 0.000 0.000
0.500 0.500 0.500
0.000 0.000 0.000
```